Computed, not measured: MoAu2 at its PBEsol-relaxed geometry at the SCAN level of DFT.

a = 5.549 Å, b = 5.549 Å, c = 6.920 Å
α = 103.96°, β = 103.96°, γ = 28.36°
Positions (direct):
Mo  0.000  0.000  0.000
Mo  0.658  0.658  0.314
Au  0.273  0.273  0.041
Au  0.322  0.322  0.653
Au  0.595  0.595  0.712
Au  0.940  0.940  0.370

Computed properties:
D(E_F), states/eV per atom: 0.69
Magnetization, μB/atom: 0.000
Energy relative to the elements, eV/atom: 0.24

Computed, not measured: LaPRu3 at its PBEsol-relaxed geometry at the SCAN level of DFT.

a = 4.420 Å, b = 4.420 Å, c = 4.420 Å
α = 90.00°, β = 90.00°, γ = 90.00°
Positions (direct):
La  0.000  0.000  0.000
P  0.500  0.500  0.500
Ru  0.000  0.500  0.500
Ru  0.500  0.000  0.500
Ru  0.500  0.500  0.000

Computed properties:
D(E_F), states/eV per atom: 0.45
Magnetization, μB/atom: 0.000
Energy relative to the elements, eV/atom: -0.33

Computed, not measured: Rb2TlSnI at its PBEsol-relaxed geometry at the SCAN level of DFT.

a = 6.571 Å, b = 6.571 Å, c = 6.047 Å
α = 90.00°, β = 90.00°, γ = 90.00°
Positions (direct):
Rb  0.000  0.500  0.000
Rb  0.500  0.000  0.000
Tl  0.000  0.000  0.500
Sn  0.500  0.500  0.500
I  0.500  0.500  0.000

Computed properties:
D(E_F), states/eV per atom: 1.04
Magnetization, μB/atom: 0.001
E, eV for the cell shown: -186.76

Q: Look up the magnetization of the second one.
A: 0.000 μB/atom